DFT (PBE-GGA) results for TbB2Os after structural relaxation.

a b c (Å): 5.924 5.333 6.402
angles (deg): 90.00 90.00 90.00
Space group Pnma (No. 62)
Asymmetric unit:
Tb: 0.010 0.250 0.164
B: 0.136 0.583 0.459
Os: 0.177 0.250 0.680

Values from the calculation:
- VASP energy: -7.859 eV/atom
- E above lowest polymorph: 0 meV per atom
- Formation enthalpy at 0 K: -2.22 eV/f.u.